(1)
{"formula": "Sr3Cd2O5", "functional": "PBE", "state": "relaxed", "e_tot_ry_per_atom": -0.37330, "de_polymorph_mev_per_atom": 0, "vol_a3_per_cell": 160, "cell": [[-1.6915, 2.1399, 11.0535], [1.6915, -2.1399, 11.0535], [1.6915, 2.1399, -11.0535]], "species": ["Cd", "Cd", "Sr", "Sr", "Sr", "O", "O", "O", "O", "O"], "fractional_positions": [[0.5999, 0.5999, 0.0000], [0.4001, 0.4001, 0.0000], [0.1909, 0.1909, 0.0000], [0.8091, 0.8091, 0.0000], [0.0000, 0.0000, 0.0000], [0.7003, 0.7003, 0.0000], [0.2997, 0.2997, 0.0000], [0.5000, 0.5000, 0.0000], [0.0973, 0.5973, 0.5000], [0.9027, 0.4027, 0.5000]]}


(2)
{"formula": "MgBeCuAs", "functional": "PBE", "state": "relaxed", "e_tot_ry_per_atom": -0.23583, "de_polymorph_mev_per_atom": 0, "vol_a3_per_cell": 60, "cell": [[0.0000, 3.1010, 3.1010], [3.1010, 0.0000, 3.1010], [3.1010, 3.1010, 0.0000]], "species": ["As", "Mg", "Be", "Cu"], "fractional_positions": [[0.2500, 0.2500, 0.2500], [0.5000, 0.5000, 0.5000], [0.0000, 0.0000, 0.0000], [0.7500, 0.7500, 0.7500]]}


(3)
{"formula": "TmPOsO", "functional": "PBE", "state": "relaxed", "e_tot_ry_per_atom": -0.47631, "de_polymorph_mev_per_atom": 1925, "vol_a3_per_cell": 118, "magmom_total_mub_per_atom": 0.00, "cell": [[4.3286, 0.0000, 0.0000], [0.0000, 4.3286, 0.0000], [0.0000, 0.0000, 6.3162]], "species": ["Tm", "Tm", "O", "O", "Os", "Os", "P", "P"], "fractional_positions": [[0.5000, 0.5000, 0.5000], [0.0000, 0.0000, 0.5000], [0.0000, 0.0000, 0.0000], [0.5000, 0.5000, 0.0000], [0.0000, 0.5000, 0.1397], [0.5000, 0.0000, 0.8603], [0.0000, 0.5000, 0.7715], [0.5000, 0.0000, 0.2285]]}


(4)
{"formula": "LuNiB", "functional": "PBE", "state": "relaxed", "e_tot_ry_per_atom": -0.41329, "de_polymorph_mev_per_atom": 0, "vol_a3_per_cell": 45, "magmom_total_mub_per_atom": 0.10, "cell": [[0.0000, 2.8131, 2.8131], [2.8131, 0.0000, 2.8131], [2.8131, 2.8131, 0.0000]], "species": ["Ni", "Lu", "B"], "fractional_positions": [[0.7500, 0.7500, 0.7500], [0.2500, 0.2500, 0.2500], [0.0000, 0.0000, 0.0000]]}


(5)
{"formula": "Na2MgMoH6", "functional": "PBE", "state": "relaxed", "e_tot_ry_per_atom": -0.26489, "vol_a3_per_cell": 436, "magmom_total_mub_per_atom": 0.01, "cell": [[9.9644, 0.0000, 0.0000], [0.0000, 9.0699, 0.0000], [-0.0137, 0.0000, 4.8193]], "species": ["H", "H", "H", "H", "H", "H", "H", "H", "H", "H", "H", "H", "H", "H", "H", "H", "H", "H", "H", "H", "H", "H", "H", "H", "Mg", "Mg", "Mg", "Mg", "Na", "Na", "Na", "Na", "Na", "Na", "Na", "Na", "Mo", "Mo", "Mo", "Mo"], "fractional_positions": [[0.6201, 0.1304, 0.2500], [0.1303, 0.3919, 0.4509], [0.3701, 0.1067, 0.5467], [0.1303, 0.1081, 0.9509], [0.8701, 0.6068, 0.9541], [0.3695, 0.1090, 0.9517], [0.8701, 0.8932, 0.4541], [0.8697, 0.6081, 0.5491], [0.3701, 0.3933, 0.0467], [0.6305, 0.8910, 0.0483], [0.6305, 0.6090, 0.5483], [0.3695, 0.3910, 0.4517], [0.1203, 0.8694, 0.7522], [0.8797, 0.3694, 0.7478], [0.1299, 0.1068, 0.5459], [0.8697, 0.8919, 0.0491], [0.3799, 0.6304, 0.2500], [0.3799, 0.8696, 0.7500], [0.8797, 0.1306, 0.2478], [0.6299, 0.8933, 0.4533], [0.1203, 0.6306, 0.2522], [0.6299, 0.6067, 0.9533], [0.6201, 0.3696, 0.7500], [0.1299, 0.3932, 0.0459], [0.2499, 0.3236, 0.7500], [0.2499, 0.1764, 0.2500], [0.7501, 0.6764, 0.2500], [0.7501, 0.8236, 0.7500], [0.4255, 0.8764, 0.2495], [0.0746, 0.8766, 0.2504], [0.9254, 0.3766, 0.2496], [0.5745, 0.1236, 0.7505], [0.9254, 0.1234, 0.7496], [0.0746, 0.6234, 0.7504], [0.5745, 0.3764, 0.2505], [0.4255, 0.6236, 0.7495], [0.2502, 0.0125, 0.7496], [0.2502, 0.4875, 0.2496], [0.7498, 0.5125, 0.7504], [0.7498, 0.9875, 0.2504]]}


(6)
{"formula": "TmNbPb2O6", "functional": "PBE", "state": "relaxed", "e_tot_ry_per_atom": -0.54751, "de_polymorph_mev_per_atom": 0, "vol_a3_per_cell": 284, "magmom_total_mub_per_atom": 0.00, "cell": [[5.0650, -2.9133, 0.0000], [5.0650, 2.9133, 0.0000], [-3.2013, 0.0000, 9.6278]], "species": ["Pb", "Pb", "Pb", "Pb", "Nb", "Nb", "O", "O", "O", "O", "O", "O", "O", "O", "O", "O", "O", "O", "Tm", "Tm"], "fractional_positions": [[0.0958, 0.6408, 0.3739], [0.9042, 0.3592, 0.6261], [0.3592, 0.9042, 0.1261], [0.6408, 0.0958, 0.8739], [0.0000, 0.5000, 0.0000], [0.5000, 0.0000, 0.5000], [0.6984, 0.1162, 0.4198], [0.1210, 0.1840, 0.8465], [0.3618, 0.3279, 0.1207], [0.8160, 0.8790, 0.6535], [0.3016, 0.8838, 0.5802], [0.6721, 0.6382, 0.3793], [0.8838, 0.3016, 0.0802], [0.1840, 0.1210, 0.3465], [0.3279, 0.3618, 0.6207], [0.1162, 0.6984, 0.9198], [0.8790, 0.8160, 0.1535], [0.6382, 0.6721, 0.8793], [0.7541, 0.2459, 0.2500], [0.2459, 0.7541, 0.7500]]}


(7)
{"formula": "AgI", "functional": "PBE", "state": "relaxed", "e_tot_ry_per_atom": -0.18063, "vol_a3_per_cell": 717, "cell": [[4.6800, 0.0000, 0.0000], [-2.3400, 4.0530, 0.0000], [0.0000, 0.0000, 37.7993]], "species": ["I", "I", "I", "I", "I", "I", "I", "I", "I", "I", "Ag", "Ag", "Ag", "Ag", "Ag", "Ag", "Ag", "Ag", "Ag", "Ag"], "fractional_positions": [[0.3333, 0.6667, 0.0246], [0.3333, 0.6667, 0.7246], [0.0000, 0.0000, 0.9246], [0.0000, 0.0000, 0.4246], [0.6667, 0.3333, 0.2246], [0.6667, 0.3333, 0.8246], [0.0000, 0.0000, 0.1246], [0.3333, 0.6667, 0.3246], [0.0000, 0.0000, 0.6246], [0.6667, 0.3333, 0.5246], [0.3333, 0.6667, 0.1004], [0.6667, 0.3333, 0.3004], [0.0000, 0.0000, 0.2004], [0.3333, 0.6667, 0.8004], [0.3333, 0.6667, 0.4004], [0.0000, 0.0000, 0.5004], [0.0000, 0.0000, 0.0004], [0.6667, 0.3333, 0.9004], [0.0000, 0.0000, 0.7004], [0.6667, 0.3333, 0.6004]]}


(8)
{"formula": "LiMg5Hg3", "functional": "PBE", "state": "relaxed", "e_tot_ry_per_atom": -0.10329, "vol_a3_per_cell": 376, "cell": [[8.4476, 0.0000, 0.0000], [-4.2238, 7.3158, 0.0000], [0.0000, 0.0000, 6.0813]], "species": ["Mg", "Mg", "Mg", "Mg", "Mg", "Mg", "Mg", "Mg", "Mg", "Mg", "Hg", "Hg", "Hg", "Hg", "Hg", "Hg", "Li", "Li"], "fractional_positions": [[0.3333, 0.6667, 0.0000], [0.6805, 0.0000, 0.2500], [0.0000, 0.3195, 0.7500], [0.6805, 0.6805, 0.7500], [0.6667, 0.3333, 0.0000], [0.3195, 0.0000, 0.7500], [0.3333, 0.6667, 0.5000], [0.3195, 0.3195, 0.2500], [0.6667, 0.3333, 0.5000], [0.0000, 0.6805, 0.2500], [0.3435, 0.3435, 0.7500], [0.0000, 0.6565, 0.7500], [0.6565, 0.6565, 0.2500], [0.0000, 0.3435, 0.2500], [0.3435, 0.0000, 0.2500], [0.6565, 0.0000, 0.7500], [0.0000, 0.0000, 0.0000], [0.0000, 0.0000, 0.5000]]}


(9)
{"formula": "MgScNiGe", "functional": "PBE", "state": "relaxed", "e_tot_ry_per_atom": -0.35128, "de_polymorph_mev_per_atom": 157, "vol_a3_per_cell": 65, "magmom_total_mub_per_atom": 0.00, "cell": [[-4.0528, -0.9904, 1.6972], [-2.3547, 3.1517, 2.1929], [-3.7102, 1.7442, -1.8652]], "species": ["Ge", "Sc", "Mg", "Ni"], "fractional_positions": [[0.0000, 0.0000, 0.0000], [0.2500, 0.2500, 0.2500], [0.5000, 0.5000, 0.5000], [0.7500, 0.7500, 0.7500]]}


(10)
{"formula": "Na2ZnPt", "functional": "PBE", "state": "relaxed", "e_tot_ry_per_atom": -0.19486, "vol_a3_per_cell": 72, "magmom_total_mub_per_atom": 0.00, "cell": [[-4.6643, -0.1654, 0.0462], [-2.4690, 3.0722, -2.5001], [-2.3229, -1.4096, -3.7950]], "species": ["Na", "Na", "Zn", "Pt"], "fractional_positions": [[0.5000, 0.5000, 0.5000], [0.2500, 0.2500, 0.2500], [0.7500, 0.7500, 0.7500], [0.0000, 0.0000, 0.0000]]}


(11)
{"formula": "PaGaSi", "functional": "PBE", "state": "relaxed", "e_tot_ry_per_atom": -0.43680, "de_polymorph_mev_per_atom": 0, "vol_a3_per_cell": 65, "magmom_total_mub_per_atom": 0.14, "cell": [[0.0000, 3.1970, 3.1970], [3.1970, 0.0000, 3.1970], [3.1970, 3.1970, 0.0000]], "species": ["Ga", "Pa", "Si"], "fractional_positions": [[0.2500, 0.2500, 0.2500], [0.7500, 0.7500, 0.7500], [0.0000, 0.0000, 0.0000]]}


(12)
{"formula": "PaSnPd", "functional": "PBE", "state": "relaxed", "e_tot_ry_per_atom": -0.44562, "vol_a3_per_cell": 82, "magmom_total_mub_per_atom": 0.16, "cell": [[0.2971, -4.7159, 1.2313], [-4.0163, -2.7773, 0.0144], [-0.5926, -3.4534, -3.4011]], "species": ["Sn", "Pa", "Pd"], "fractional_positions": [[0.7500, 0.7500, 0.7500], [0.0000, 0.0000, 0.0000], [0.2500, 0.2500, 0.2500]]}